Entry 1:
# Pm12SmGe7 PBE relaxed
# Calculated volume, A^3/atom: 28.616
# Formation energy, eV per atom: -0.49
data_Pm12SmGe7
_symmetry_space_group_name_H-M 'R -3 m'
_symmetry_Int_Tables_number 166
_symmetry_space_group_name_Hall '-R 3 2"'
_cell_length_a 15.1131
_cell_length_b 15.1131
_cell_length_c 8.6801
_cell_angle_alpha 90.00
_cell_angle_beta 90.00
_cell_angle_gamma 120.00
loop_
_atom_site_label
_atom_site_type_symbol
_atom_site_fract_x
_atom_site_fract_y
_atom_site_fract_z
Pm1 Pm 0.0000 0.2678 0.0000
Pm2 Pm 0.1026 0.2052 0.3710
Sm1 Sm 0.0000 0.0000 0.0000
Ge1 Ge 0.0000 0.0000 0.5000
Ge2 Ge 0.1083 0.2167 0.7585

---

Entry 2:
# PmSmGe2 PBE relaxed
# Calculated volume, A^3/atom: 24.598
# Formation energy, eV per atom: -0.87
data_PmSmGe2
_symmetry_space_group_name_H-M 'A m m 2'
_symmetry_Int_Tables_number 38
_cell_length_a 4.046
_cell_length_b 4.425
_cell_length_c 10.992
_cell_angle_alpha 90.00
_cell_angle_beta 90.00
_cell_angle_gamma 90.00
loop_
_symmetry_equiv_pos_as_xyz
'x,y,z'
'-x,-y,z'
'-x,y,z'
'x,-y,z'
'x,y+1/2,z+1/2'
'-x,-y+1/2,z+1/2'
'-x,y+1/2,z+1/2'
'x,-y+1/2,z+1/2'
loop_
_atom_site_label
_atom_site_type_symbol
_atom_site_fract_x
_atom_site_fract_y
_atom_site_fract_z
Pm1 Pm 0.000 0.000 0.000
Sm1 Sm 0.500 0.000 0.276
Ge1 Ge 0.000 0.000 0.721
Ge2 Ge 0.500 0.000 0.556

---

Entry 3:
# Pm5SmGe2 PBE relaxed
# Calculated volume, A^3/atom: 29.542
# Formation energy, eV per atom: -0.33
data_Pm5SmGe2
_symmetry_space_group_name_H-M 'I m m m'
_symmetry_Int_Tables_number 71
_symmetry_space_group_name_Hall '-I 2 2'
_cell_length_a 4.513
_cell_length_b 9.618
_cell_length_c 10.890
_cell_angle_alpha 90.00
_cell_angle_beta 90.00
_cell_angle_gamma 90.00
loop_
_atom_site_label
_atom_site_type_symbol
_atom_site_fract_x
_atom_site_fract_y
_atom_site_fract_z
Pm1 Pm 0.000 0.000 0.000
Pm2 Pm 0.000 0.310 0.340
Sm1 Sm 0.000 0.500 0.000
Ge1 Ge 0.000 0.000 0.292

---

no.,raw total energy (eV per atom)
1,-5.20
2,-5.54
3,-5.04